LiGdThAu after structural relaxation, computed with GGA-PBE.

a = 5.2064 Å, b = 5.2064 Å, c = 5.2064 Å
α = 60.00°, β = 60.00°, γ = 60.00°
Last column: magnetic moment on the atom in μB.
Positions (direct):
Th: 0.7500 0.7500 0.7500  -0.23
Li: 0.5000 0.5000 0.5000  -0.02
Gd: 0.2500 0.2500 0.2500  -7.22
Au: 0.0000 0.0000 0.0000  -0.05

Values from the calculation:
DOS at the Fermi energy: 4.4 states/eV/cell
space group: F-43m
E_tot: -27.63 eV per cell
formation enthalpy at 0 K: -0.2349 eV per atom